No. 1
ReBiS2Cl: relaxed, PBE-GGA.

Cell and atoms, written as extended XYZ:
```
5
Lattice="-1.788 4.168 0.963 -4.102 -1.966 0.896 1.302 -0.543 4.765" Properties=species:S:1:pos:R:3 pbc="T T T"
Cl 0.651 -0.271 2.383
S -2.051 -0.983 0.448
S -0.894 2.084 0.482
Bi -2.294 0.829 3.312
Re 0.000 0.000 0.000
```

D(E_F), states/eV/cell: 6.2
Energy relative to the elements, uncorrected, meV per atom: 253
Excess energy over the best structure of this formula in the dataset, meV per atom: 0
SG: P4/mmm

---

No. 2
Tb3CoNi: relaxed, PBE-GGA.

Cell and atoms, written as extended XYZ:
```
10
Lattice="3.829 0.000 0.001 0.000 6.255 0.003 -0.001 -0.006 9.387" Properties=species:S:1:pos:R:3 pbc="T T T"
Ni 2.870 3.499 7.042
Ni 0.957 2.750 2.349
Tb 2.871 4.708 2.350
Tb 0.956 4.730 8.827
Tb 2.871 1.517 4.132
Tb 2.871 1.519 0.564
Tb 0.956 1.542 7.041
Tb 0.956 4.732 5.259
Co 2.870 5.889 7.044
Co 0.957 0.361 2.347
```

D(E_F), states/eV/cell: 10.0
Excess energy over the best structure of this formula in the dataset, meV per atom: 27
SG: Pmmn

---

No. 3
PrSc5Tl4: relaxed, PBE-GGA.

Cell and atoms, written as extended XYZ:
```
10
Lattice="-1.703 -0.366 -2.963 -2.596 -1.503 1.678 -8.961 18.657 2.846" Properties=species:S:1:pos:R:3 pbc="T T T"
Sc -10.046 15.505 1.866
Sc -3.215 1.283 -0.304
Sc -4.911 4.815 0.235
Sc -6.630 8.394 0.781
Sc -8.349 11.973 1.327
Tl -7.061 14.701 2.243
Tl -5.340 11.119 1.696
Tl -1.900 3.955 0.603
Tl -3.620 7.538 1.150
Pr 0.000 0.000 0.000
```

D(E_F), states/eV/cell: 8.2
SG: P4/mmm

---

No. 4
TcSbHSeF: relaxed, PBE-GGA.

Cell and atoms, written as extended XYZ:
```
5
Lattice="3.282 -0.007 0.009 -1.631 3.976 0.002 -0.005 -0.616 7.019" Properties=species:S:1:pos:R:3 pbc="T T T"
Sb -0.129 3.638 3.148
F -0.131 3.277 1.200
Tc 1.504 1.978 4.545
H 1.497 2.175 6.158
Se -0.144 0.419 5.713
```

Excess energy over the best structure of this formula in the dataset, meV per atom: 34
SG: P1

---

No. 5
Ac2AgIr: relaxed, PBE-GGA.

Cell and atoms, written as extended XYZ:
```
4
Lattice="4.471 0.000 0.000 2.236 3.872 0.000 0.000 0.000 7.447" Properties=species:S:1:pos:R:3 pbc="T T T"
Ac 4.471 2.582 1.570
Ac 2.236 1.291 5.877
Ir 0.000 0.000 0.000
Ag 0.000 0.000 3.724
```

D(E_F), states/eV/cell: 2.4
Excess energy over the best structure of this formula in the dataset, meV per atom: 25
SG: P-3m1

---

No. 6
CeYGaOs: relaxed, PBE-GGA.

Cell and atoms, written as extended XYZ:
```
4
Lattice="-3.107 2.468 -3.005 -4.731 -1.480 -0.446 -3.664 2.760 1.933" Properties=species:S:1:pos:R:3 pbc="T T T"
Os -8.627 2.811 -1.139
Ga -2.876 0.937 -0.380
Y 0.000 0.000 0.000
Ce -5.751 1.874 -0.759
```

D(E_F), states/eV/cell: 4.1
SG: F-43m

---

| no. | E_tot (eV for the cell shown) |
| --- | --- |
| 1 | -25.2 |
| 2 | -55.8 |
| 3 | -47.9 |
| 4 | -25.6 |
| 5 | -21.8 |
| 6 | -27.8 |